A geometry-optimized CaGaCoF2 structure. Source: the Alexandria database, functional PBE with a Hubbard U.

The space group is P4/mmm (No. 123) and the conventional cell measures 4.164, 4.164 and 7.734 Å, with angles of 90.00, 90.00 and 90.00 degrees. The distinct sites, in fractional coordinates, are Ca at (0.000, 0.000, 0.000), Ga at (0.000, 0.000, 0.500), Co at (0.500, 0.500, 0.500) and F at (0.000, 0.500, 0.000).

As for the uncorrected energy: -21.27 eV per cell. As for the total magnetic moment: 2.1 μB per formula unit. For the mass density, the calculation gives 2.6 g/cm³.


A geometry-optimized CaCoH2F8 structure. Source: the Alexandria database, functional PBE with a Hubbard U.

The space group is C2/m (No. 12) and the conventional cell measures 8.241, 5.685 and 6.527 Å, with angles of 90.00, 95.63 and 90.00 degrees. The distinct sites, in fractional coordinates, are Ca at (0.000, 0.000, 0.000), Co at (0.000, 0.000, 0.500), H at (0.233, 0.500, 0.235), F at (0.013, 0.218, 0.298), F at (0.218, 0.000, 0.552) and F at (0.224, 0.500, 0.079).

As for the uncorrected energy: -108.84 eV per cell. As for the total magnetic moment: 1.0 μB per formula unit. For the mass density, the calculation gives 2.8 g/cm³.